Entry 1:
Material: CrAgOs2
Method: DFT, PBE
State: relaxed

a b c (Å): 2.7090 2.7090 7.9315
angles (deg): 90.00 90.00 90.00
Atoms (fractional coordinates):
Ag 0.5000 0.5000 0.2500
Cr 0.5000 0.5000 0.7500
Os 0.0000 0.0000 0.9688
Os 0.0000 0.0000 0.5312

Results
- calculated density (g/cm3) = 15.4
- E (eV/atom) = -8.29
- E_form (eV per atom) = 0.442

***

Entry 2:
Material: TbSm5Tm12
Method: DFT, PBE
State: relaxed

a b c (Å): 10.5646 10.5790 6.1147
angles (deg): 73.36 90.00 60.04
Atoms (fractional coordinates):
Tb 0.0000 0.0000 0.0000
Sm 0.5000 0.0000 0.5000
Sm 0.1664 0.6673 0.4996
Sm 0.8336 0.3327 0.5004
Sm 0.6666 0.6667 0.0003
Sm 0.3334 0.3333 0.9997
Tm 0.8327 0.0000 0.4999
Tm 0.1673 0.0000 0.5001
Tm 0.6684 0.0000 0.9999
Tm 0.3317 0.0000 0.0001
Tm 0.3337 0.6674 0.9998
Tm 0.9989 0.6674 0.9996
Tm 0.0011 0.3326 0.0004
Tm 0.6663 0.3326 0.0002
Tm 0.5014 0.3333 0.4996
Tm 0.8346 0.6667 0.5002
Tm 0.1654 0.3333 0.4998
Tm 0.4986 0.6667 0.5004

Results
- calculated density (g/cm3) = 8.7
- E (eV/atom) = -4.53
- E_form (eV per atom) = 0.023

***

The lowest calculated density belongs to which entry?
TbSm5Tm12

***

Among the records above, which one has the highest E_form?
CrAgOs2

***

Which value of E_form does entry 1 give?
0.442 eV per atom

***

Which formula does entry 2 have?
TbSm5Tm12